! DyAl2F8 | Alexandria via LeMat-Bulk | GGA-PBE | relaxed; values from VASP
&SYSTEM
  ibrav = 0, nat = 11, ntyp = 3
/
ATOMIC_SPECIES
F 19.00 F.upf
Al 26.98 Al.upf
Dy 162.50 Dy.upf
CELL_PARAMETERS angstrom
-2.879 -1.792 -1.416
4.259 -4.321 -3.192
-2.223 -1.426 6.327
ATOMIC_POSITIONS crystal
F 0.301 0.667 0.333
F 0.699 0.333 0.667
F 0.800 0.812 0.186
F 0.200 0.186 0.374
F 0.200 0.626 0.812
F 0.200 0.188 0.814
F 0.800 0.814 0.626
F 0.800 0.374 0.188
Al 0.201 0.333 0.667
Al 0.799 0.667 0.333
Dy 0.000 0.000 0.000
! - space group = P-3m1
! - formation energy from raw total energies (kJ/mol of atoms) = -334.1


! DyAlF5 | Alexandria via LeMat-Bulk | GGA-PBE | relaxed; values from VASP
&SYSTEM
  ibrav = 0, nat = 14, ntyp = 3
/
ATOMIC_SPECIES
Dy 162.50 Dy.upf
Al 26.98 Al.upf
F 19.00 F.upf
CELL_PARAMETERS angstrom
5.526 -0.573 -0.120
1.210 5.423 -0.120
2.296 1.653 6.419
ATOMIC_POSITIONS crystal
Dy 0.471 0.529 0.250
Dy 0.529 0.471 0.750
Al 0.000 0.000 0.000
Al 0.000 0.000 0.500
F 0.833 0.708 0.126
F 0.156 0.714 0.449
F 0.708 0.833 0.626
F 0.911 0.089 0.250
F 0.286 0.844 0.051
F 0.714 0.156 0.949
F 0.089 0.911 0.750
F 0.292 0.167 0.374
F 0.844 0.286 0.551
F 0.167 0.292 0.874
! - space group = C2/c
! - formation energy from raw total energies (kJ/mol of atoms) = -332.5


! Dy2AlF | Alexandria via LeMat-Bulk | GGA-PBE | relaxed; values from VASP
&SYSTEM
  ibrav = 0, nat = 4, ntyp = 3
/
ATOMIC_SPECIES
F 19.00 F.upf
Al 26.98 Al.upf
Dy 162.50 Dy.upf
CELL_PARAMETERS angstrom
-2.268 -1.154 -2.548
0.223 -3.384 -1.211
-5.487 -3.715 4.020
ATOMIC_POSITIONS crystal
F 0.000 0.000 0.000
Al 0.500 0.500 0.500
Dy 0.735 0.735 0.794
Dy 0.265 0.265 0.206
! - space group = R-3m
! - formation energy from raw total energies (kJ/mol of atoms) = -119.9


! Li2DyAlF8 | Alexandria via LeMat-Bulk | GGA-PBE | relaxed; values from VASP
&SYSTEM
  ibrav = 0, nat = 12, ntyp = 4
/
ATOMIC_SPECIES
Li 6.94 Li.upf
Dy 162.50 Dy.upf
Al 26.98 Al.upf
F 19.00 F.upf
CELL_PARAMETERS angstrom
4.697 0.014 -0.003
0.052 4.698 -0.005
0.004 0.007 6.451
ATOMIC_POSITIONS crystal
Li 0.500 0.500 0.775
Li 0.500 0.500 0.225
Dy 0.000 0.000 0.500
Al 0.000 0.000 0.000
F 0.191 0.808 0.214
F 0.730 0.731 0.000
F 0.809 0.192 0.214
F 0.809 0.192 0.786
F 0.270 0.269 0.000
F 0.191 0.808 0.786
F 0.682 0.683 0.500
F 0.318 0.317 0.500
! - space group = P2/m
! - formation energy from raw total energies (kJ/mol of atoms) = -336.9


! DyAl12Fe4 | Alexandria via LeMat-Bulk | GGA-PBE | relaxed; values from VASP
&SYSTEM
  ibrav = 0, nat = 17, ntyp = 3
/
ATOMIC_SPECIES
Dy 162.50 Dy.upf
Al 26.98 Al.upf
Fe 55.84 Fe.upf
CELL_PARAMETERS angstrom
-7.765 -0.285 -0.275
2.875 -7.211 -0.421
2.238 3.296 6.676
ATOMIC_POSITIONS crystal
Dy 0.000 0.000 0.000
Al 0.737 0.263 0.999
Al 0.263 0.526 0.263
Al 0.001 0.263 0.737
Al 0.263 0.999 0.737
Al 0.999 0.737 0.263
Al 0.737 0.474 0.737
Al 0.526 0.263 0.263
Al 0.474 0.737 0.737
Al 0.737 0.001 0.263
Al 0.737 0.737 0.474
Al 0.263 0.263 0.526
Al 0.263 0.737 0.001
Fe 0.000 0.500 0.000
Fe 0.500 0.000 0.000
Fe 0.500 0.500 0.500
Fe 0.000 0.000 0.500
! - space group = Im-3m
! - formation enthalpy at 0 K (eV per atom) = -0.06


! DyAlFe | Alexandria via LeMat-Bulk | GGA-PBE | relaxed; values from VASP
&SYSTEM
  ibrav = 0, nat = 6, ntyp = 3
/
ATOMIC_SPECIES
Dy 162.50 Dy.upf
Al 26.98 Al.upf
Fe 55.84 Fe.upf
CELL_PARAMETERS angstrom
-0.941 2.843 0.507
-1.855 -1.419 4.514
7.974 0.895 0.693
ATOMIC_POSITIONS crystal
Dy 0.176 0.676 0.351
Dy 0.824 0.324 0.649
Al 0.607 0.107 0.214
Al 0.393 0.893 0.786
Fe 0.000 0.736 0.000
Fe 0.000 0.264 0.000
! - space group = Immm
! - formation enthalpy at 0 K (eV per atom) = 0.02


! Dy2Al8Fe | Alexandria via LeMat-Bulk | GGA-PBE | relaxed; values from VASP
&SYSTEM
  ibrav = 0, nat = 11, ntyp = 3
/
ATOMIC_SPECIES
Dy 162.50 Dy.upf
Al 26.98 Al.upf
Fe 55.84 Fe.upf
CELL_PARAMETERS angstrom
4.212 0.000 0.000
0.000 4.212 0.000
0.000 0.000 11.230
ATOMIC_POSITIONS crystal
Dy 0.000 0.000 0.306
Dy 0.000 0.000 0.694
Al 0.000 0.500 0.500
Al 0.500 0.000 0.500
Al 0.500 0.500 0.308
Al 0.500 0.500 0.692
Al 0.000 0.500 0.115
Al 0.500 0.000 0.115
Al 0.000 0.500 0.885
Al 0.500 0.000 0.885
Fe 0.000 0.000 0.000
! - space group = P4/mmm
! - formation enthalpy at 0 K (eV per atom) = -0.40


! DyAl2Fe | Alexandria via LeMat-Bulk | GGA-PBE | relaxed; values from VASP
&SYSTEM
  ibrav = 0, nat = 4, ntyp = 3
/
ATOMIC_SPECIES
Al 26.98 Al.upf
Fe 55.84 Fe.upf
Dy 162.50 Dy.upf
CELL_PARAMETERS angstrom
3.040 0.000 0.000
0.000 3.040 0.000
0.000 0.000 7.280
ATOMIC_POSITIONS crystal
Al 0.000 0.000 0.818
Al 0.000 0.000 0.182
Fe 0.500 0.500 0.000
Dy 0.500 0.500 0.500
! - space group = P4/mmm
! - formation enthalpy at 0 K (eV per atom) = -0.27


! Dy2Al3Fe | Alexandria via LeMat-Bulk | GGA-PBE | relaxed; values from VASP
&SYSTEM
  ibrav = 0, nat = 6, ntyp = 3
/
ATOMIC_SPECIES
Dy 162.50 Dy.upf
Al 26.98 Al.upf
Fe 55.84 Fe.upf
CELL_PARAMETERS angstrom
5.395 -0.013 -0.009
2.580 4.738 -0.009
2.580 1.529 4.485
ATOMIC_POSITIONS crystal
Dy 0.626 0.626 0.626
Dy 0.374 0.374 0.374
Al 0.000 0.500 0.000
Al 0.500 0.000 0.000
Al 0.000 0.000 0.500
Fe 0.000 0.000 0.000
! - space group = R-3m
! - formation enthalpy at 0 K (eV per atom) = -0.40


! DyAl3Fe3 | Alexandria via LeMat-Bulk | GGA-PBE | relaxed; values from VASP
&SYSTEM
  ibrav = 0, nat = 14, ntyp = 3
/
ATOMIC_SPECIES
Al 26.98 Al.upf
Fe 55.84 Fe.upf
Dy 162.50 Dy.upf
CELL_PARAMETERS angstrom
-2.138 -1.409 5.924
-5.069 -3.068 -2.559
3.375 -5.501 -0.090
ATOMIC_POSITIONS crystal
Al 0.000 0.250 0.500
Al 0.000 0.750 0.500
Al 0.500 0.000 0.750
Al 0.750 0.500 0.000
Al 0.500 0.000 0.250
Al 0.250 0.500 0.000
Fe 0.250 0.000 0.500
Fe 0.000 0.500 0.250
Fe 0.500 0.750 0.000
Fe 0.750 0.000 0.500
Fe 0.000 0.500 0.750
Fe 0.500 0.250 0.000
Dy 0.500 0.500 0.500
Dy 0.000 0.000 0.000
! - space group = Pm-3n
! - formation enthalpy at 0 K (eV per atom) = 0.54


! DyAl10Fe2 | Alexandria via LeMat-Bulk | GGA-PBE | relaxed; values from VASP
&SYSTEM
  ibrav = 0, nat = 26, ntyp = 3
/
ATOMIC_SPECIES
Dy 162.50 Dy.upf
Al 26.98 Al.upf
Fe 55.84 Fe.upf
CELL_PARAMETERS angstrom
-0.734 6.546 -1.471
-5.550 -2.197 -3.149
-4.734 1.162 7.533
ATOMIC_POSITIONS crystal
Dy 0.874 0.126 0.750
Dy 0.126 0.874 0.250
Al 0.625 0.375 0.549
Al 0.375 0.625 0.451
Al 0.375 0.625 0.049
Al 0.625 0.375 0.951
Al 0.227 0.227 0.500
Al 0.773 0.773 0.500
Al 0.773 0.773 0.000
Al 0.227 0.227 0.000
Al 0.842 0.158 0.097
Al 0.158 0.842 0.903
Al 0.158 0.842 0.597
Al 0.842 0.158 0.403
Al 0.866 0.586 0.750
Al 0.134 0.414 0.250
Al 0.414 0.134 0.750
Al 0.586 0.866 0.250
Al 0.220 0.478 0.750
Al 0.780 0.522 0.250
Al 0.522 0.780 0.750
Al 0.478 0.220 0.250
Fe 0.000 0.500 0.500
Fe 0.000 0.500 0.000
Fe 0.500 0.000 0.000
Fe 0.500 0.000 0.500
! - space group = Cmcm
! - formation enthalpy at 0 K (eV per atom) = -0.36


! DyAl2Fe | Alexandria via LeMat-Bulk | GGA-PBE | relaxed; values from VASP
&SYSTEM
  ibrav = 0, nat = 4, ntyp = 3
/
ATOMIC_SPECIES
Al 26.98 Al.upf
Fe 55.84 Fe.upf
Dy 162.50 Dy.upf
CELL_PARAMETERS angstrom
-3.055 0.228 0.150
-1.759 -2.345 -0.900
-1.443 -4.012 8.046
ATOMIC_POSITIONS crystal
Al 0.733 0.733 0.801
Al 0.267 0.267 0.199
Fe 0.000 0.000 0.000
Dy 0.500 0.500 0.500
! - space group = R-3m
! - formation enthalpy at 0 K (eV per atom) = 0.10


! DyAlFe | Alexandria via LeMat-Bulk | GGA-PBE | relaxed; values from VASP
&SYSTEM
  ibrav = 0, nat = 6, ntyp = 3
/
ATOMIC_SPECIES
Dy 162.50 Dy.upf
Al 26.98 Al.upf
Fe 55.84 Fe.upf
CELL_PARAMETERS angstrom
-4.534 0.122 2.754
-0.223 -1.519 -5.080
3.672 -3.659 1.134
ATOMIC_POSITIONS crystal
Dy 0.250 0.136 0.886
Dy 0.750 0.864 0.114
Al 0.000 0.500 0.500
Al 0.500 0.000 0.500
Fe 0.500 0.500 0.500
Fe 0.000 0.500 0.000
! - space group = Imma
! - formation enthalpy at 0 K (eV per atom) = -0.30


! DyAl2Fe9 | Alexandria via LeMat-Bulk | GGA-PBE | relaxed; values from VASP
&SYSTEM
  ibrav = 0, nat = 24, ntyp = 3
/
ATOMIC_SPECIES
Dy 162.50 Dy.upf
Al 26.98 Al.upf
Fe 55.84 Fe.upf
CELL_PARAMETERS angstrom
-0.414 4.529 -0.854
-7.314 -0.033 3.370
3.292 1.652 7.161
ATOMIC_POSITIONS crystal
Dy 0.000 0.500 0.500
Dy 0.000 0.000 0.000
Al 0.000 0.620 0.120
Al 0.000 0.380 0.880
Al 0.000 0.120 0.380
Al 0.000 0.880 0.620
Fe 0.500 0.500 0.000
Fe 0.500 0.000 0.500
Fe 0.500 0.711 0.567
Fe 0.500 0.289 0.433
Fe 0.500 0.211 0.933
Fe 0.500 0.789 0.067
Fe 0.500 0.433 0.711
Fe 0.500 0.567 0.289
Fe 0.500 0.067 0.211
Fe 0.500 0.933 0.789
Fe 0.769 0.824 0.324
Fe 0.769 0.176 0.676
Fe 0.769 0.324 0.176
Fe 0.769 0.676 0.824
Fe 0.231 0.176 0.676
Fe 0.231 0.824 0.324
Fe 0.231 0.676 0.824
Fe 0.231 0.324 0.176
! - space group = P4/mbm
! - formation enthalpy at 0 K (eV per atom) = -0.15


! DyAl6Fe6 | Alexandria via LeMat-Bulk | GGA-PBE | relaxed; values from VASP
&SYSTEM
  ibrav = 0, nat = 13, ntyp = 3
/
ATOMIC_SPECIES
Dy 162.50 Dy.upf
Al 26.98 Al.upf
Fe 55.84 Fe.upf
CELL_PARAMETERS angstrom
5.767 0.386 -3.083
2.250 -2.108 5.780
-3.582 -2.601 -4.828
ATOMIC_POSITIONS crystal
Dy 0.000 0.000 0.000
Al 0.653 0.653 0.000
Al 0.347 0.347 0.000
Al 0.337 0.000 0.337
Al 0.663 0.000 0.663
Al 0.192 0.692 0.500
Al 0.808 0.308 0.500
Fe 0.500 0.500 0.500
Fe 0.500 0.000 0.000
Fe 0.000 0.500 0.000
Fe 0.000 0.000 0.500
Fe 0.760 0.500 0.260
Fe 0.240 0.500 0.740
! - space group = Immm
! - formation enthalpy at 0 K (eV per atom) = -0.38


! DyAl8Fe2 | Alexandria via LeMat-Bulk | GGA-PBE | relaxed; values from VASP
&SYSTEM
  ibrav = 0, nat = 11, ntyp = 3
/
ATOMIC_SPECIES
Dy 162.50 Dy.upf
Al 26.98 Al.upf
Fe 55.84 Fe.upf
CELL_PARAMETERS angstrom
-0.246 -4.547 -0.533
5.813 0.950 -3.008
1.558 0.075 6.427
ATOMIC_POSITIONS crystal
Dy 0.500 0.000 0.000
Al 0.907 0.911 0.648
Al 0.907 0.648 0.911
Al 0.265 0.606 0.606
Al 0.500 0.717 0.283
Al 0.500 0.283 0.717
Al 0.735 0.394 0.394
Al 0.093 0.352 0.089
Al 0.093 0.089 0.352
Fe 0.000 0.290 0.710
Fe 0.000 0.710 0.290
! - space group = C2/m
! - formation enthalpy at 0 K (eV per atom) = -0.19


! DyAlFe | Alexandria via LeMat-Bulk | GGA-PBE | relaxed; values from VASP
&SYSTEM
  ibrav = 0, nat = 3, ntyp = 3
/
ATOMIC_SPECIES
Al 26.98 Al.upf
Fe 55.84 Fe.upf
Dy 162.50 Dy.upf
CELL_PARAMETERS angstrom
3.161 0.000 0.000
0.000 3.161 0.000
-1.580 -1.580 5.317
ATOMIC_POSITIONS crystal
Al 0.295 0.295 0.589
Fe 0.689 0.689 0.378
Dy 0.016 0.016 0.033
! - space group = I4mm
! - formation enthalpy at 0 K (eV per atom) = -0.12


! Dy12AlFe6 | Alexandria via LeMat-Bulk | GGA-PBE | relaxed; values from VASP
&SYSTEM
  ibrav = 0, nat = 19, ntyp = 3
/
ATOMIC_SPECIES
Dy 162.50 Dy.upf
Al 26.98 Al.upf
Fe 55.84 Fe.upf
CELL_PARAMETERS angstrom
7.888 0.000 -2.789
-3.944 6.831 -2.789
0.000 0.000 8.366
ATOMIC_POSITIONS crystal
Dy 0.297 0.103 0.806
Dy 0.297 0.491 0.194
Dy 0.703 0.509 0.806
Dy 0.703 0.897 0.194
Dy 0.103 0.806 0.297
Dy 0.491 0.194 0.297
Dy 0.509 0.806 0.703
Dy 0.897 0.194 0.703
Dy 0.806 0.297 0.103
Dy 0.194 0.297 0.491
Dy 0.806 0.703 0.509
Dy 0.194 0.703 0.897
Al 0.000 0.000 0.000
Fe 0.390 0.500 0.890
Fe 0.610 0.500 0.110
Fe 0.500 0.890 0.390
Fe 0.500 0.110 0.610
Fe 0.890 0.390 0.500
Fe 0.110 0.610 0.500
! - space group = Im-3
! - formation enthalpy at 0 K (eV per atom) = -0.06


! DyAl8Fe4 | Alexandria via LeMat-Bulk | GGA-PBE | relaxed; values from VASP
&SYSTEM
  ibrav = 0, nat = 13, ntyp = 3
/
ATOMIC_SPECIES
Dy 162.50 Dy.upf
Al 26.98 Al.upf
Fe 55.84 Fe.upf
CELL_PARAMETERS angstrom
-6.628 0.078 -0.398
4.970 -1.848 -3.997
0.621 -4.787 4.560
ATOMIC_POSITIONS crystal
Dy 0.000 0.000 0.000
Al 0.000 0.660 0.660
Al 0.340 0.000 0.340
Al 0.660 0.000 0.660
Al 0.000 0.340 0.340
Al 0.500 0.721 0.221
Al 0.500 0.279 0.779
Al 0.721 0.500 0.221
Al 0.279 0.500 0.779
Fe 0.500 0.000 0.000
Fe 0.500 0.500 0.500
Fe 0.000 0.000 0.500
Fe 0.000 0.500 0.000
! - space group = I4/mmm
! - formation enthalpy at 0 K (eV per atom) = -0.43


! DyAlFe | Alexandria via LeMat-Bulk | GGA-PBE | relaxed; values from VASP
&SYSTEM
  ibrav = 0, nat = 3, ntyp = 3
/
ATOMIC_SPECIES
Al 26.98 Al.upf
Fe 55.84 Fe.upf
Dy 162.50 Dy.upf
CELL_PARAMETERS angstrom
-0.297 2.057 -3.010
-1.737 -3.342 -2.113
-2.543 2.760 2.138
ATOMIC_POSITIONS crystal
Al 0.167 0.667 0.333
Fe 0.167 0.000 0.000
Dy 0.667 0.333 0.667
! - space group = P-6m2
! - formation enthalpy at 0 K (eV per atom) = -0.10


no.,final energy (eV/atom)
1,-5.92
2,-5.97
3,-4.95
4,-5.75
5,-4.96
6,-5.58
7,-4.73
8,-5.41
9,-5.22
10,-5.35
11,-4.89
12,-5.04
13,-5.90
14,-7.51
15,-6.37
16,-4.87
17,-5.72
18,-5.83
19,-5.69
20,-5.71